Compound: SrHfB3
Source: the Alexandria database
Functional: PBE-GGA
Structure: relaxed

Unit cell a=4.360 b=4.360 c=4.360 alpha=90.00 beta=90.00 gamma=90.00
Space group Pm-3m (No. 221)
One atom of each set of equivalent atoms:
Sr: 0.000 0.000 0.000 x1
Hf: 0.500 0.500 0.500 x1
B: 0.000 0.000 0.500 x3

Output
The value obtained for the total DFT energy (no corrections) is -19.29 eV/f.u. Its total magnetic moment is 0.00 Bohr magnetons per cell. Its energy of formation is 2.4756 eV per atom.

***

Compound: SrHf3B
Source: the Alexandria database
Functional: PBE-GGA
Structure: relaxed

Unit cell a=4.835 b=4.835 c=4.835 alpha=90.00 beta=90.00 gamma=90.00
Space group Pm-3m (No. 221)
One atom of each set of equivalent atoms:
Sr: 0.000 0.000 0.000 x1
Hf: 0.000 0.500 0.500 x3
B: 0.500 0.500 0.500 x1

Output
The value obtained for the total DFT energy (no corrections) is -36.64 eV/f.u. Its total magnetic moment is 1.25 Bohr magnetons per cell. Its energy of formation is 0.3151 eV per atom.

***

Compound: SrHfB12
Source: the Alexandria database
Functional: PBE-GGA
Structure: relaxed

Unit cell a=4.107 b=4.107 c=8.220 alpha=90.00 beta=90.00 gamma=90.00
Space group P4/mmm (No. 123)
One atom of each set of equivalent atoms:
Sr: 0.000 0.000 0.000 x1
Hf: 0.000 0.000 0.500 x1
B: 0.199 0.500 0.256 x8
B: 0.500 0.500 0.103 x2
B: 0.500 0.500 0.403 x2

Output
The value obtained for the total DFT energy (no corrections) is -94.53 eV/f.u. Its total magnetic moment is 0.00 Bohr magnetons per cell. Its energy of formation is -0.1976 eV per atom.

***

Compound: SrHf3B
Source: the Alexandria database
Functional: PBE-GGA
Structure: relaxed

Unit cell a=5.068 b=5.068 c=5.068 alpha=90.00 beta=90.00 gamma=90.00
Space group Pm-3m (No. 221)
One atom of each set of equivalent atoms:
Sr: 0.000 0.000 0.000 x1
Hf: 0.000 0.000 0.500 x3
B: 0.500 0.500 0.500 x1

Output
The value obtained for the total DFT energy (no corrections) is -23.30 eV/f.u. Its total magnetic moment is 0.00 Bohr magnetons per cell. Its energy of formation is 2.9846 eV per atom.

***

Which value of total DFT energy (no corrections) does entry 3 give? -94.53 eV/f.u.

***

The lowest total DFT energy (no corrections) belongs to which entry? SrHfB12

***

Look up the total magnetic moment of the fourth one. 0.00 Bohr magnetons per cell